i) This record from Alexandria via LeMat-Bulk describes a relaxed structure of ZrBi2F. The functional is PBE-GGA.

It has space group Fm-3m (No. 225), with a = 7.219 Å, b = 7.219 Å, c = 7.219 Å, α = 90.00°, β = 90.00° and γ = 90.00°. The asymmetric unit holds Zr at (0.000, 0.000, 0.000), Bi at (0.250, 0.250, 0.250) and F at (0.000, 0.000, 0.500).

Its density of states at the Fermi level is 22.3 states/eV/cell.

***

ii) This record from Alexandria via LeMat-Bulk describes a relaxed structure of ZrBi2F. The functional is PBE-GGA.

It has space group I-42d (No. 122), with a = 7.765 Å, b = 7.765 Å, c = 6.164 Å, α = 90.00°, β = 90.00° and γ = 90.00°. The asymmetric unit holds Zr at (0.000, 0.000, 0.000), Bi at (0.193, 0.250, 0.625) and F at (0.000, 0.000, 0.500).

Its density of states at the Fermi level is 15.8 states/eV/cell.

***

Which of them is most stable? Easy: ii).

***

i) This record from Alexandria via LeMat-Bulk describes a relaxed structure of ZrBi3F. The functional is PBE-GGA.

It has space group Pm-3m (No. 221), with a = 5.027 Å, b = 5.027 Å, c = 5.027 Å, α = 90.00°, β = 90.00° and γ = 90.00°. The asymmetric unit holds Zr at (0.000, 0.000, 0.000), Bi at (0.000, 0.500, 0.500) and F at (0.500, 0.500, 0.500).

Its density of states at the Fermi level is 3.6 states/eV/cell.

***

ii) This record from Alexandria via LeMat-Bulk describes a relaxed structure of ZrBi3F. The functional is PBE-GGA.

It has space group Pm-3m (No. 221), with a = 5.608 Å, b = 5.608 Å, c = 5.608 Å, α = 90.00°, β = 90.00° and γ = 90.00°. The asymmetric unit holds Zr at (0.000, 0.000, 0.000), Bi at (0.000, 0.000, 0.500) and F at (0.500, 0.500, 0.500).

Its density of states at the Fermi level is 2.1 states/eV/cell.

***

Which of them is most stable? Easy: i).

***

i) This record from Alexandria via LeMat-Bulk describes a relaxed structure of Zr2BiF. The functional is PBE-GGA.

It has space group I-42d (No. 122), with a = 5.173 Å, b = 5.173 Å, c = 14.644 Å, α = 90.00°, β = 90.00° and γ = 90.00°. The asymmetric unit holds Zr at (0.101, 0.250, 0.125), Bi at (0.000, 0.000, 0.500) and F at (0.000, 0.000, 0.000).

Its density of states at the Fermi level is 2.5 states/eV/cell.

***

ii) This record from Alexandria via LeMat-Bulk describes a relaxed structure of Zr2BiF. The functional is PBE-GGA.

It has space group Fm-3m (No. 225), with a = 6.910 Å, b = 6.910 Å, c = 6.910 Å, α = 90.00°, β = 90.00° and γ = 90.00°. The asymmetric unit holds Zr at (0.250, 0.250, 0.250), Bi at (0.000, 0.000, 0.000) and F at (0.000, 0.000, 0.500).

Its density of states at the Fermi level is 24.1 states/eV/cell.

***

Which of them is most stable? Easy: ii).